DFT (PBE) results for CeYNiGe after structural relaxation.

Summary:
Density   6.81 g cm⁻³
Crystal system   cubic
Energy   -24.561 eV per cell
DOS at the Fermi energy   7.9 states/eV/cell
ΔH_f (0 K)   -42.57 kJ/mol of atoms

Cell lengths 4.9913, 4.9913, 4.9913 Å; angles 60.00, 60.00, 60.00 degrees
With the nearest neighbours (Å) after each atom.
Sites, in units of the cell vectors:
Y (0.5000, 0.5000, 0.5000)  4 Ge 3.06, 4 Ni 3.06
Ge (0.2500, 0.2500, 0.2500)  4 Ce 3.06, 4 Y 3.06
Ce (0.0000, 0.0000, 0.0000)  4 Ge 3.06, 4 Ni 3.06
Ni (0.7500, 0.7500, 0.7500)  4 Ce 3.06, 4 Y 3.06